Here is crystalline LiLaLuRh at its relaxed geometry from the Alexandria database. Energies are from PBE.

Computed properties:
Electronic total energy: -5.0998 eV/atom
Energy of formation from the pure elements: -421 meV/atom
M_tot: 0.0 μB per formula unit
D(E_F): 3.00 states/eV/f.u.
Symmetry: F-43m, No. 216

abc: 5.0175 5.0175 5.0175
angles: 60.00 60.00 60.00
Last column: nearest neighbours and their distance in Å.
Fractional coordinates of all 4 atoms:
1 Li 0.0000 0.0000 0.0000  4 La 3.07, 4 Lu 3.07
2 La 0.7500 0.7500 0.7500  4 Li 3.07, 4 Rh 3.07
3 Lu 0.2500 0.2500 0.2500  4 Li 3.07, 4 Rh 3.07
4 Rh 0.5000 0.5000 0.5000  4 La 3.07, 4 Lu 3.07


Here is crystalline ReOs2W2 at its relaxed geometry from the Alexandria database. Energies are from PBE.

Computed properties:
Electronic total energy: -11.8211 eV/atom
Energy of formation from the pure elements: 342 meV/atom
M_tot: 0.0 μB per formula unit
D(E_F): 5.11 states/eV/f.u.
Symmetry: P4/mbm, No. 127

abc: 7.4329 7.4329 2.8739
angles: 90.00 90.00 90.00
Last column: nearest neighbours and their distance in Å.
Fractional coordinates of all 10 atoms:
1 Re 0.0000 0.0000 0.0000  2 Re 2.87, 4 Os 2.91, 8 W 3.12
2 Re 0.5000 0.5000 0.0000  2 Re 2.87, 4 Os 2.91, 8 W 3.12
3 Os 0.1305 0.3695 0.0000  6 W 2.56-2.66, 1 Os 2.74
4 Os 0.3695 0.8695 0.0000  6 W 2.56-2.66, 1 Os 2.74
5 Os 0.6305 0.1305 0.0000  6 W 2.56-2.66, 1 Os 2.74
6 Os 0.8695 0.6305 0.0000  6 W 2.56-2.66, 1 Os 2.74
7 W 0.1681 0.6681 0.5000  6 Os 2.56-2.66
8 W 0.3319 0.1681 0.5000  6 Os 2.56-2.66
9 W 0.6681 0.8319 0.5000  6 Os 2.56-2.66
10 W 0.8319 0.3319 0.5000  6 Os 2.56-2.66


Here is crystalline Tm2HfO5 at its relaxed geometry from the Alexandria database. Energies are from PBE.

Computed properties:
Electronic total energy: -9.0633 eV/atom
Formation energy from raw total energies: -28.8 eV per formula unit
M_tot: 0.0 μB per formula unit
D(E_F): 0.00 states/eV/f.u.
Symmetry: Pnma, No. 62

abc: 7.4995 3.6951 15.5873
angles: 90.00 90.00 90.00
Last column: nearest neighbours and their distance in Å.
Fractional coordinates of all 32 atoms:
1 Tm 0.0901 0.2500 0.0893  6 O 2.26-2.42
2 Tm 0.1343 0.2500 0.7401  6 O 2.16-2.37
3 Tm 0.3657 0.7500 0.2401  6 O 2.16-2.37
4 Tm 0.4099 0.7500 0.5893  6 O 2.26-2.42
5 Tm 0.5901 0.2500 0.4107  6 O 2.26-2.42
6 Tm 0.6343 0.2500 0.7599  6 O 2.16-2.37
7 Tm 0.8657 0.7500 0.2599  6 O 2.16-2.37
8 Tm 0.9099 0.7500 0.9107  6 O 2.26-2.42
9 Hf 0.1292 0.2500 0.4286  5 O 1.98-2.13
10 Hf 0.3708 0.7500 0.9286  5 O 1.98-2.13
11 Hf 0.6292 0.2500 0.0714  5 O 1.98-2.13
12 Hf 0.8708 0.7500 0.5714  5 O 1.98-2.13
13 O 0.0850 0.7500 0.6572  1 Hf 2.09, 2 Tm 2.28
14 O 0.0975 0.7500 0.4711  2 Hf 1.98
15 O 0.1050 0.7500 0.1814  4 Tm 2.16-2.34
16 O 0.1374 0.7500 0.0058  1 Hf 2.13, 3 Tm 2.26-2.29
17 O 0.1879 0.7500 0.8320  1 Hf 2.04
18 O 0.3121 0.2500 0.3320  1 Hf 2.04
19 O 0.3626 0.2500 0.5058  1 Hf 2.13, 3 Tm 2.26-2.29
20 O 0.3950 0.2500 0.6814  4 Tm 2.16-2.34
21 O 0.4025 0.2500 0.9711  2 Hf 1.98
22 O 0.4150 0.2500 0.1572  1 Hf 2.09, 2 Tm 2.28
23 O 0.5850 0.7500 0.8428  1 Hf 2.09, 2 Tm 2.28
24 O 0.5975 0.7500 0.0289  2 Hf 1.98
25 O 0.6050 0.7500 0.3186  4 Tm 2.16-2.34
26 O 0.6374 0.7500 0.4942  1 Hf 2.13, 3 Tm 2.26-2.29
27 O 0.6879 0.7500 0.6680  1 Hf 2.04
28 O 0.8121 0.2500 0.1680  1 Hf 2.04
29 O 0.8626 0.2500 0.9942  1 Hf 2.13, 3 Tm 2.26-2.29
30 O 0.8950 0.2500 0.8186  4 Tm 2.16-2.34
31 O 0.9025 0.2500 0.5289  2 Hf 1.98
32 O 0.9150 0.2500 0.3428  1 Hf 2.09, 2 Tm 2.28


Here is crystalline BaTcTe2 at its relaxed geometry from the Alexandria database. Energies are from PBE.

Computed properties:
Energy relative to the lowest polymorph listed for this composition: 387 meV per atom
Electronic total energy: -4.7669 eV/atom
Formation energy from raw total energies: -0.5 eV per formula unit
M_tot: 4.1 μB per formula unit
D(E_F): 2.69 states/eV/f.u.
Symmetry: P4mm, No. 99

abc: 4.2191 4.2191 7.8339
angles: 90.00 90.00 90.00
Last column: nearest neighbours and their distance in Å.
Fractional coordinates of all 4 atoms:
1 Ba 0.0000 0.0000 0.0000  5 Te 3.35-3.43
2 Tc 0.5000 0.5000 0.4559  5 Te 2.73-2.99
3 Te 0.0000 0.0000 0.4374  4 Tc 2.99
4 Te 0.5000 0.5000 0.8048  1 Tc 2.73


Here is crystalline K2OsRh at its relaxed geometry from the Alexandria database. Energies are from PBE.

Computed properties:
Energy relative to the lowest polymorph listed for this composition: 606 meV per atom
Electronic total energy: -4.0060 eV/atom
Energy of formation from the pure elements: 1188 meV/atom
M_tot: 1.8 μB per formula unit
D(E_F): 6.92 states/eV/f.u.
Symmetry: I-42d, No. 122

abc: 8.9201 8.9201 8.9201
angles: 93.95 93.95 149.56
Last column: nearest neighbours and their distance in Å.
Fractional coordinates of all 8 atoms:
1 K 0.3750 0.1942 0.3192  2 Rh 3.21
2 K 0.8058 0.1250 0.1808  2 Rh 3.21
3 K 0.8750 0.0558 0.6808  2 Rh 3.21
4 K 0.9442 0.6250 0.8192  2 Rh 3.21
5 Os 0.2500 0.7500 0.5000  2 Rh 2.34
6 Os 0.5000 0.5000 0.0000  2 Rh 2.34
7 Rh 0.0000 0.0000 0.0000  2 Os 2.34
8 Rh 0.7500 0.2500 0.5000  2 Os 2.34


Here is crystalline KCuH3 at its relaxed geometry from the Alexandria database. Energies are from PBE.

Computed properties:
Energy relative to the lowest polymorph listed for this composition: 0 meV per atom
Electronic total energy: -3.0836 eV/atom
M_tot: 0.0 μB per formula unit
D(E_F): 0.40 states/eV/f.u.
Symmetry: I4/mcm, No. 140

abc: 5.4322 5.4322 5.4322
angles: 114.49 114.49 99.85
Last column: nearest neighbours and their distance in Å.
Fractional coordinates of all 10 atoms:
1 K 0.2500 0.2500 0.0000  12 H 2.76-2.94
2 K 0.7500 0.7500 0.0000  12 H 2.76-2.94
3 Cu 0.0000 0.5000 0.5000  4 H 1.57-1.75
4 Cu 0.5000 0.0000 0.5000  4 H 1.57-1.75
5 H 0.1891 0.6891 0.8781  1 Cu 1.57
6 H 0.2500 0.7500 0.5000  2 Cu 1.75
7 H 0.3109 0.1891 0.5000  1 Cu 1.57
8 H 0.6891 0.8109 0.5000  1 Cu 1.57
9 H 0.7500 0.2500 0.5000  2 Cu 1.75
10 H 0.8109 0.3109 0.1219  1 Cu 1.57


Here is crystalline Tb3DyY6Tm2 at its relaxed geometry from the Alexandria database. Energies are from PBE.

Computed properties:
Electronic total energy: -5.4957 eV/atom
Energy of formation from the pure elements: 23 meV/atom
M_tot: 0.0 μB per formula unit
D(E_F): 17.45 states/eV/f.u.
Symmetry: C2/m, No. 12

abc: 6.1498 6.1498 11.7753
angles: 94.98 94.98 119.94
Last column: nearest neighbours and their distance in Å.
Fractional coordinates of all 12 atoms:
1 Tb 0.0000 0.0000 0.0000  6 Tb 3.55, 6 Y 3.56-3.57
2 Tb 0.3331 0.6669 0.0000  6 Tb 3.55, 6 Y 3.56-3.57
3 Tb 0.6669 0.3331 0.0000  6 Tb 3.55, 6 Y 3.56-3.57
4 Dy 0.5000 0.5000 0.5000  6 Y 3.54, 6 Tm 3.55
5 Y 0.0833 0.4169 0.2514  2 Tm 3.54, 1 Dy 3.54, 6 Y 3.55-3.56, 3 Tb 3.56-3.57
6 Y 0.2495 0.2495 0.7487  1 Dy 3.54, 2 Tm 3.54, 6 Y 3.55-3.56, 3 Tb 3.56-3.57
7 Y 0.4169 0.0833 0.2514  2 Tm 3.54, 1 Dy 3.54, 6 Y 3.55-3.56, 3 Tb 3.56-3.57
8 Y 0.5831 0.9167 0.7486  2 Tm 3.54, 1 Dy 3.54, 6 Y 3.55-3.56, 3 Tb 3.56-3.57
9 Y 0.7505 0.7505 0.2513  1 Dy 3.54, 2 Tm 3.54, 6 Y 3.55-3.56, 3 Tb 3.56-3.57
10 Y 0.9167 0.5831 0.7486  2 Tm 3.54, 1 Dy 3.54, 6 Y 3.55-3.56, 3 Tb 3.56-3.57
11 Tm 0.1666 0.8334 0.5000  6 Y 3.54, 3 Tm 3.55, 3 Dy 3.55
12 Tm 0.8334 0.1666 0.5000  6 Y 3.54, 3 Tm 3.55, 3 Dy 3.55


Here is crystalline YReO2F at its relaxed geometry from the Alexandria database. Energies are from PBE.

Computed properties:
Electronic total energy: -7.1603 eV/atom
Formation energy from raw total energies: -5.1 eV per formula unit
M_tot: 5.0 μB per formula unit
D(E_F): 1.51 states/eV/f.u.
Symmetry: P4/mmm, No. 123

abc: 4.4278 4.4278 4.2402
angles: 90.00 90.00 90.00
Last column: nearest neighbours and their distance in Å.
Fractional coordinates of all 5 atoms:
1 Y 0.0000 0.0000 0.0000  2 F 2.12, 4 O 2.21
2 Re 0.5000 0.5000 0.5000  8 O 3.07, 4 F 3.13
3 O 0.0000 0.5000 0.0000  2 Y 2.21
4 O 0.5000 0.0000 0.0000  2 Y 2.21
5 F 0.0000 0.0000 0.5000  2 Y 2.12


Here is crystalline CuPAu at its relaxed geometry from the Alexandria database. Energies are from PBE.

Computed properties:
Energy relative to the lowest polymorph listed for this composition: 105 meV per atom
Electronic total energy: -4.0370 eV/atom
Energy of formation from the pure elements: 224 meV/atom
M_tot: 0.0 μB per formula unit
D(E_F): 0.97 states/eV/f.u.
Symmetry: Imm2, No. 44

abc: 4.8884 4.8884 4.8884
angles: 143.48 137.60 57.18
Last column: nearest neighbours and their distance in Å.
Fractional coordinates of all 3 atoms:
1 Cu 0.0000 0.0000 0.0000  4 P 2.49, 1 Au 2.66
2 P 0.6003 0.6003 0.0000  1 Au 2.49, 4 Cu 2.49
3 Au 0.3103 0.3103 0.0000  1 P 2.49, 1 Cu 2.66


Here is crystalline AcMg8Ni4 at its relaxed geometry from the Alexandria database. Energies are from PBE.

Computed properties:
Electronic total energy: -3.1807 eV/atom
Energy of formation from the pure elements: -105 meV/atom
M_tot: 0.0 μB per formula unit
D(E_F): 8.33 states/eV/f.u.
Symmetry: I4/mmm, No. 139

abc: 7.2142 7.2142 7.2142
angles: 98.17 98.17 135.69
Last column: nearest neighbours and their distance in Å.
Fractional coordinates of all 13 atoms:
1 Ac 0.0000 0.0000 0.0000  12 Mg 3.24-3.45, 8 Ni 3.61
2 Mg 0.0000 0.3426 0.3426  4 Ni 2.86, 5 Mg 2.94-3.00
3 Mg 0.0000 0.6574 0.6574  4 Ni 2.86, 5 Mg 2.94-3.00
4 Mg 0.2762 0.5000 0.7762  4 Ni 2.74, 6 Mg 2.94-3.00
5 Mg 0.3426 0.0000 0.3426  4 Ni 2.86, 5 Mg 2.94-3.00
6 Mg 0.5000 0.2762 0.7762  4 Ni 2.74, 6 Mg 2.94-3.00
7 Mg 0.5000 0.7238 0.2238  4 Ni 2.74, 6 Mg 2.94-3.00
8 Mg 0.6574 0.0000 0.6574  4 Ni 2.86, 5 Mg 2.94-3.00
9 Mg 0.7238 0.5000 0.2238  4 Ni 2.74, 6 Mg 2.94-3.00
10 Ni 0.0000 0.0000 0.5000  2 Ni 2.72, 8 Mg 2.74-2.86
11 Ni 0.0000 0.5000 0.0000  2 Ni 2.72, 8 Mg 2.74-2.86
12 Ni 0.5000 0.0000 0.0000  2 Ni 2.72, 8 Mg 2.74-2.86
13 Ni 0.5000 0.5000 0.5000  2 Ni 2.72, 8 Mg 2.74-2.86


Here is crystalline NbAsW2N at its relaxed geometry from the Alexandria database. Energies are from PBE.

Computed properties:
Electronic total energy: -7.3076 eV/atom
Formation energy from raw total energies: 12.4 eV per formula unit
M_tot: 0.0 μB per formula unit
D(E_F): 4.61 states/eV/f.u.
Symmetry: P4/mmm, No. 123

abc: 4.5693 4.5693 4.7606
angles: 90.00 90.00 90.00
Last column: nearest neighbours and their distance in Å.
Fractional coordinates of all 5 atoms:
1 Nb 0.0000 0.0000 0.0000  2 As 2.38
2 As 0.0000 0.0000 0.5000  4 W 2.28, 2 Nb 2.38
3 W 0.0000 0.5000 0.5000  2 As 2.28
4 W 0.5000 0.0000 0.5000  2 As 2.28
5 N 0.5000 0.5000 0.0000  4 Nb 3.23, 8 W 3.30


Here is crystalline TmTh2Te6 at its relaxed geometry from the Alexandria database. Energies are from PBE.

Computed properties:
Electronic total energy: -5.2486 eV/atom
Formation energy from raw total energies: -9.1 eV per formula unit
M_tot: 0.0 μB per formula unit
D(E_F): 6.08 states/eV/f.u.
Symmetry: P4_2/mnm, No. 136

abc: 7.3312 7.3312 13.6705
angles: 90.00 90.00 90.00
Last column: nearest neighbours and their distance in Å.
Fractional coordinates of all 18 atoms:
1 Tm 0.0000 0.0000 0.0000  6 Te 3.02-3.07
2 Tm 0.5000 0.5000 0.5000  6 Te 3.02-3.07
3 Th 0.0000 0.0000 0.3314  6 Te 3.11-3.13
4 Th 0.0000 0.0000 0.6686  6 Te 3.11-3.13
5 Th 0.5000 0.5000 0.1686  6 Te 3.11-3.13
6 Th 0.5000 0.5000 0.8314  6 Te 3.11-3.13
7 Te 0.2000 0.2000 0.1607  1 Tm 3.02, 2 Th 3.11-3.12
8 Te 0.2000 0.2000 0.8393  1 Tm 3.02, 2 Th 3.11-3.12
9 Te 0.2040 0.2040 0.5000  1 Tm 3.07, 2 Th 3.13
10 Te 0.2960 0.7040 0.0000  1 Tm 3.07, 2 Th 3.13
11 Te 0.3000 0.7000 0.3393  1 Tm 3.02, 2 Th 3.11-3.12
12 Te 0.3000 0.7000 0.6607  1 Tm 3.02, 2 Th 3.11-3.12
13 Te 0.7000 0.3000 0.3393  1 Tm 3.02, 2 Th 3.11-3.12
14 Te 0.7000 0.3000 0.6607  1 Tm 3.02, 2 Th 3.11-3.12
15 Te 0.7040 0.2960 0.0000  1 Tm 3.07, 2 Th 3.13
16 Te 0.7960 0.7960 0.5000  1 Tm 3.07, 2 Th 3.13
17 Te 0.8000 0.8000 0.1607  1 Tm 3.02, 2 Th 3.11-3.12
18 Te 0.8000 0.8000 0.8393  1 Tm 3.02, 2 Th 3.11-3.12


Look up the D(E_F) of the fifth one. 6.92 states/eV/f.u.


Look up the electronic total energy of the eighth one. -7.1603 eV/atom


What is the formula in the second record? ReOs2W2